Here is PrPu2Pt2Au after structural relaxation from Alexandria via LeMat-Bulk. Energies are from PBE-GGA.

a b c (Å): 5.087 5.087 6.196
angles (deg): 90.00 90.00 120.00
Fractional coordinates of all 6 atoms:
Pr  0.000  0.000  0.000
Pu  0.333  0.667  0.687
Pu  0.667  0.333  0.313
Pt  0.333  0.667  0.196
Pt  0.667  0.333  0.804
Au  0.000  0.000  0.500

Its calculated formation energy is -0.700 eV/atom. The space group is P-3m1. The calculation puts the spin magnetization at 11.36 μB per cell.


Here is PrPuPtAu after structural relaxation from Alexandria via LeMat-Bulk. Energies are from PBE-GGA.

a b c (Å): 3.950 4.530 5.925
angles (deg): 90.00 109.47 90.00
Fractional coordinates of all 4 atoms:
Pr  0.142  0.000  0.284
Pu  0.865  0.500  0.731
Pt  0.408  0.000  0.817
Au  0.584  0.500  0.168

Its calculated formation energy is -0.752 eV/atom. The space group is Amm2. The calculation puts the spin magnetization at 5.64 μB per cell.


Here is Pr2Sb4Pt3Au after structural relaxation from Alexandria via LeMat-Bulk. Energies are from PBE-GGA.

a b c (Å): 4.781 4.781 10.353
angles (deg): 90.00 90.00 90.00
Fractional coordinates of all 10 atoms:
Pr  0.500  0.000  0.260
Pr  0.000  0.500  0.740
Sb  0.500  0.500  0.000
Sb  0.000  0.000  0.000
Sb  0.500  0.000  0.629
Sb  0.000  0.500  0.371
Pt  0.000  0.000  0.500
Pt  0.500  0.000  0.880
Pt  0.000  0.500  0.120
Au  0.500  0.500  0.500

The space group is P-4m2. For the formation energy without anion corrections, the calculation gives -0.75 eV/atom. The calculation puts the spin magnetization at 0.00 μB per cell.


Question: Which formula does entry 1 have?
Answer: PrPu2Pt2Au


Question: What is the spin magnetization in the first record?
Answer: 11.36 μB per cell


Question: The lowest spin magnetization belongs to which entry?
Answer: Pr2Sb4Pt3Au